Record 1
# Al6Zn8Ga

Al6Zn8Ga after structural relaxation (PBE, Alexandria via LeMat-Bulk).

Geometry as POSCAR:
```
Al6Zn8Ga
1.0
5.256 0.000 0.000
0.000 6.471 -3.736
0.000 0.000 7.472
Ga Al Zn
1 6 8
Direct
0.500 0.000 0.000
0.572 0.866 0.570
0.428 0.134 0.430
0.428 0.570 0.704
0.428 0.296 0.866
0.572 0.704 0.134
0.572 0.430 0.296
0.922 0.681 0.674
0.078 0.319 0.326
0.078 0.674 0.992
0.922 0.992 0.319
0.867 0.333 0.667
0.078 0.008 0.681
0.922 0.326 0.008
0.133 0.667 0.333
```

Output
DOS(E_F)	4.05	states/eV per cell
symmetry	No. 147



Record 2
# Tl2CdCu

Tl2CdCu after structural relaxation (PBE, Alexandria via LeMat-Bulk).

Geometry as POSCAR:
```
Tl2CdCu
1.0
9.407 0.085 0.050
8.738 3.485 0.050
8.738 1.719 3.032
Cd Tl Cu
1 2 1
Direct
0.250 0.250 0.250
0.011 0.011 0.011
0.489 0.489 0.489
0.750 0.750 0.750
```

Output
DOS(E_F)	1.05	states/eV per cell
symmetry	No. 166



Record 3
# BMoPd3

BMoPd3 after structural relaxation (PBE, Alexandria via LeMat-Bulk).

Geometry as POSCAR:
```
BMoPd3
1.0
4.205 0.000 0.000
0.000 4.205 0.000
0.000 0.000 4.205
Pd Mo B
3 1 1
Direct
0.000 0.500 0.000
0.000 0.000 0.500
0.500 0.000 0.000
0.500 0.500 0.500
0.000 0.000 0.000
```

Output
DOS(E_F)	5.91	states/eV per cell
symmetry	No. 221



Record 4
# Y2Ho2Al4Zn

Y2Ho2Al4Zn after structural relaxation (PBE, Alexandria via LeMat-Bulk).

Geometry as POSCAR:
```
Y2Ho2Al4Zn
1.0
-4.348 -1.091 4.875
5.923 -2.914 0.534
2.412 6.142 -0.571
Y Al Zn Ho
2 4 1 2
Direct
0.000 0.697 0.697
0.000 0.303 0.303
0.000 0.247 0.753
0.000 0.753 0.247
0.494 0.247 0.247
0.506 0.753 0.753
0.000 0.000 0.000
0.500 0.250 0.750
0.500 0.750 0.250
```

Output
DOS(E_F)	8.10	states/eV per cell
symmetry	No. 139



Per-record E_form, eV per atom: 0.094; 0.190; 0.313; -0.140
Per-record size of the total moment, μB/atom: 0.00; 0.00; 0.75; 0.00